No. 1
Tl2CuW | PBE-GGA | optimized geometry Values from VASP.

Results
- symmetry = P4/mmm (123)
- distance to the lowest polymorph of the same formula (kJ/mol of atoms) = 24.9
- ΔH_f (0 K) (eV/atom) = 0.901

Geometry as Quantum ESPRESSO input:
```
&SYSTEM
  ibrav = 0, nat = 4, ntyp = 3
/
ATOMIC_SPECIES
Tl 204.38 Tl.upf
W 183.84 W.upf
Cu 63.55 Cu.upf
CELL_PARAMETERS angstrom
2.954 0.000 0.000
0.000 2.954 0.000
0.000 0.000 8.969
ATOMIC_POSITIONS crystal
Tl 0.000 0.000 0.987
Tl 0.000 0.000 0.513
W 0.500 0.500 0.250
Cu 0.500 0.500 0.750
```


No. 2
Nb2Fe2As | PBE-GGA | optimized geometry Values from VASP.

Results
- symmetry = I4/mmm (139)
- distance to the lowest polymorph of the same formula (kJ/mol of atoms) = 26.7
- ΔH_f (0 K) (eV/atom) = 0.305

Geometry as Quantum ESPRESSO input:
```
&SYSTEM
  ibrav = 0, nat = 5, ntyp = 3
/
ATOMIC_SPECIES
Fe 55.84 Fe.upf
Nb 92.91 Nb.upf
As 74.92 As.upf
CELL_PARAMETERS angstrom
-3.645 2.100 -0.334
-1.232 -1.545 3.730
-0.529 3.933 3.842
ATOMIC_POSITIONS crystal
Fe 0.615 0.615 0.771
Fe 0.385 0.385 0.229
Nb 0.750 0.250 0.500
Nb 0.250 0.750 0.500
As 0.000 0.000 0.000
```


No. 3
NaIr | PBE-GGA | optimized geometry Values from VASP.

Results
- symmetry = Cmmm (65)
- ΔH_f (0 K) (eV/atom) = 0.460

Geometry as Quantum ESPRESSO input:
```
&SYSTEM
  ibrav = 0, nat = 12, ntyp = 2
/
ATOMIC_SPECIES
Ir 192.22 Ir.upf
Na 22.99 Na.upf
CELL_PARAMETERS angstrom
-2.388 -0.733 4.242
2.021 -8.967 -0.411
3.891 0.771 2.324
ATOMIC_POSITIONS crystal
Ir 0.000 0.500 0.500
Ir 0.500 0.860 0.000
Na 0.500 0.500 0.000
Ir 0.000 0.360 0.000
Ir 0.000 0.640 0.000
Ir 0.500 0.000 0.500
Na 0.500 0.672 0.500
Na 0.000 0.172 0.500
Na 0.000 0.000 0.000
Na 0.500 0.328 0.500
Na 0.000 0.828 0.500
Ir 0.500 0.140 0.000
```


No. 4
Ac6AlZn2 | PBE-GGA | optimized geometry Values from VASP.

Results
- symmetry = Immm (71)
- ΔH_f (0 K) (eV/atom) = -0.124

Geometry as Quantum ESPRESSO input:
```
&SYSTEM
  ibrav = 0, nat = 18, ntyp = 3
/
ATOMIC_SPECIES
Ac 227.00 Ac.upf
Zn 65.41 Zn.upf
Al 26.98 Al.upf
CELL_PARAMETERS angstrom
-6.648 6.623 1.047
-3.567 -8.176 -3.094
4.041 -1.843 8.332
ATOMIC_POSITIONS crystal
Ac 0.552 0.730 0.822
Ac 0.298 0.971 0.673
Ac 0.811 0.246 0.056
Ac 0.189 0.754 0.944
Zn 0.500 0.616 0.116
Ac 0.702 0.375 0.673
Al 0.000 0.500 0.500
Ac 0.093 0.270 0.822
Al 0.000 0.000 0.000
Zn 0.655 0.000 0.655
Ac 0.448 0.270 0.178
Zn 0.500 0.384 0.884
Ac 0.811 0.754 0.565
Zn 0.345 0.000 0.345
Ac 0.189 0.246 0.435
Ac 0.907 0.730 0.178
Ac 0.298 0.625 0.327
Ac 0.702 0.029 0.327
```


No. 5
Pm2CuSe | PBE-GGA | optimized geometry Values from VASP.

Results
- symmetry = Cmcm (63)
- distance to the lowest polymorph of the same formula (kJ/mol of atoms) = 0.0

Geometry as Quantum ESPRESSO input:
```
&SYSTEM
  ibrav = 0, nat = 8, ntyp = 3
/
ATOMIC_SPECIES
Pm 145.00 Pm.upf
Cu 63.55 Cu.upf
Se 78.96 Se.upf
CELL_PARAMETERS angstrom
-3.035 -0.549 -2.821
1.804 -3.463 -1.268
-7.136 -4.409 8.535
ATOMIC_POSITIONS crystal
Pm 0.250 0.317 0.633
Pm 0.750 0.683 0.367
Pm 0.250 0.066 0.133
Cu 0.750 0.535 0.070
Pm 0.750 0.934 0.867
Se 0.750 0.808 0.616
Se 0.250 0.192 0.384
Cu 0.250 0.465 0.930
```


No. 6
La3ScPd | PBE-GGA | optimized geometry Values from VASP.

Results
- symmetry = Pm-3m (221)
- distance to the lowest polymorph of the same formula (kJ/mol of atoms) = 0.0
- ΔH_f (0 K) (eV/atom) = 0.019

Geometry as Quantum ESPRESSO input:
```
&SYSTEM
  ibrav = 0, nat = 5, ntyp = 3
/
ATOMIC_SPECIES
La 138.91 La.upf
Sc 44.96 Sc.upf
Pd 106.42 Pd.upf
CELL_PARAMETERS angstrom
-0.199 0.194 -5.673
-5.154 -2.386 0.099
-2.379 5.151 0.259
ATOMIC_POSITIONS crystal
La 0.000 0.000 0.500
Sc 0.500 0.500 0.500
Pd 0.000 0.000 0.000
La 0.000 0.500 0.000
La 0.500 0.000 0.000
```